1.
# K3Tm3GaTe8, optimized geometry, DFT PBE
# Raw formation energy = -1.05 eV per atom
# Magnetic moment = 0.000 μB per formula unit
data_K3Tm3GaTe8
_chemical_formula_sum 'K6 Tm6 Ga2 Te16'
_space_group_name_H-M_alt 'C 1 2/m 1'
_space_group_IT_number 12
_cell_length_a 14.9452
_cell_length_b 8.6222
_cell_length_c 9.8955
_cell_angle_alpha 90.00
_cell_angle_beta 120.25
_cell_angle_gamma 90.00
loop_
_space_group_symop_operation_xyz
'x,y,z'
'-x,-y,-z'
'-x,y,-z'
'x,-y,z'
'x+1/2,y+1/2,z'
'-x+1/2,-y+1/2,-z'
'-x+1/2,y+1/2,-z'
'x+1/2,-y+1/2,z'
loop_
_atom_site_label
_atom_site_type_symbol
_atom_site_fract_x
_atom_site_fract_y
_atom_site_fract_z
K1 K 0.0000 0.0000 0.0000
K2 K 0.2500 0.2500 0.0000
Tm1 Tm 0.0000 0.5000 0.5000
Tm2 Tm 0.2500 0.2500 0.5000
Ga1 Ga 0.0000 0.0000 0.5000
Te1 Te 0.0148 0.2426 0.3019
Te2 Te 0.2258 0.0000 0.6968
Te3 Te 0.2360 0.5000 0.7076

2.
# CaOs4Rh, optimized geometry, DFT PBE
# DFT formation energy = 493 meV per atom
# Magnetic moment = 0.000 μB per formula unit
data_CaOs4Rh
_chemical_formula_sum 'Ca4 Os16 Rh4'
_space_group_name_H-M_alt 'F -4 3 m'
_space_group_IT_number 216
_space_group_name_Hall 'F -4 2 3'
_cell_length_a 7.3829
_cell_length_b 7.3829
_cell_length_c 7.3829
_cell_angle_alpha 90.00
_cell_angle_beta 90.00
_cell_angle_gamma 90.00
loop_
_atom_site_label
_atom_site_type_symbol
_atom_site_fract_x
_atom_site_fract_y
_atom_site_fract_z
Ca1 Ca 0.0000 0.0000 0.0000
Os1 Os 0.1241 0.1241 0.6241
Rh1 Rh 0.2500 0.2500 0.2500

3.
# Mg2Al2Mo, optimized geometry, DFT PBE
# DFT formation energy = 291 meV per atom
# Magnetic moment = 0.000 μB per formula unit
data_Mg2Al2Mo
_chemical_formula_sum 'Mg4 Al4 Mo2'
_space_group_name_H-M_alt 'P 4/m b m'
_space_group_IT_number 127
_space_group_name_Hall '-P 4 2ab'
_cell_length_a 7.3304
_cell_length_b 7.3304
_cell_length_c 3.2853
_cell_angle_alpha 90.00
_cell_angle_beta 90.00
_cell_angle_gamma 90.00
loop_
_atom_site_label
_atom_site_type_symbol
_atom_site_fract_x
_atom_site_fract_y
_atom_site_fract_z
Mg1 Mg 0.1695 0.3305 0.0000
Al1 Al 0.1326 0.6326 0.5000
Mo1 Mo 0.0000 0.0000 0.5000

4.
# YUIrRu, optimized geometry, DFT PBE
# DFT formation energy = -379 meV per atom
# Magnetic moment = 1.979 μB per formula unit
data_YUIrRu
_chemical_formula_sum 'Y4 U4 Ir4 Ru4'
_space_group_name_H-M_alt 'F -4 3 m'
_space_group_IT_number 216
_space_group_name_Hall 'F -4 2 3'
_cell_length_a 6.8287
_cell_length_b 6.8287
_cell_length_c 6.8287
_cell_angle_alpha 90.00
_cell_angle_beta 90.00
_cell_angle_gamma 90.00
loop_
_atom_site_label
_atom_site_type_symbol
_atom_site_fract_x
_atom_site_fract_y
_atom_site_fract_z
Y1 Y 0.0000 0.0000 0.0000
U1 U 0.0000 0.0000 0.5000
Ir1 Ir 0.2500 0.2500 0.7500
Ru1 Ru 0.2500 0.2500 0.2500

> Number 1 is which compound?

K3Tm3GaTe8

Please write out number 3 again, unchanged.
# Mg2Al2Mo, optimized geometry, DFT PBE
# DFT formation energy = 291 meV per atom
# Magnetic moment = 0.000 μB per formula unit
data_Mg2Al2Mo
_chemical_formula_sum 'Mg4 Al4 Mo2'
_space_group_name_H-M_alt 'P 4/m b m'
_space_group_IT_number 127
_space_group_name_Hall '-P 4 2ab'
_cell_length_a 7.3304
_cell_length_b 7.3304
_cell_length_c 3.2853
_cell_angle_alpha 90.00
_cell_angle_beta 90.00
_cell_angle_gamma 90.00
loop_
_atom_site_label
_atom_site_type_symbol
_atom_site_fract_x
_atom_site_fract_y
_atom_site_fract_z
Mg1 Mg 0.1695 0.3305 0.0000
Al1 Al 0.1326 0.6326 0.5000
Mo1 Mo 0.0000 0.0000 0.5000

> Look up the magnetic moment of the second one.

0.000 μB per formula unit